Density functional theory data (GGA+U) for a geometry-optimized Ba12Ni3O5 structure.

* total magnetic moment: 0.8 μB per formula unit
* crystal system: cubic
* total DFT energy (no corrections): -3.78 eV/atom

Cell lengths 15.358, 15.358, 15.358 Å; angles 109.47, 109.47, 109.47 degrees
Site moments in Bohr magnetons follow the coordinates.
Positions (direct):
Ni  0.750  0.375  0.125  1.00
Ni  0.875  0.750  0.125  1.00
Ni  0.375  0.750  0.625  1.00
Ni  0.250  0.125  0.375  1.00
Ni  0.875  0.125  0.250  1.00
Ni  0.375  0.625  0.250  1.00
Ni  0.625  0.375  0.750  1.00
Ni  0.125  0.875  0.750  1.00
Ni  0.750  0.875  0.625  1.00
Ni  0.625  0.250  0.375  1.00
Ni  0.125  0.250  0.875  1.00
Ni  0.250  0.625  0.875  1.00
O  0.125  0.375  0.250  -0.01
O  0.000  0.500  0.000  -0.01
O  0.000  0.000  0.000  -0.01
O  0.375  0.250  0.125  -0.01
O  0.500  0.000  0.500  -0.01
O  0.500  0.500  0.000  -0.01
O  0.125  0.750  0.375  -0.01
O  0.750  0.125  0.875  -0.01
O  0.750  0.625  0.375  -0.01
O  0.375  0.125  0.750  -0.01
O  0.625  0.875  0.250  -0.01
O  0.500  0.500  0.500  -0.01
O  0.500  0.000  0.000  -0.01
O  0.000  0.000  0.500  -0.01
O  0.250  0.375  0.625  -0.01
O  0.250  0.875  0.125  -0.01
O  0.000  0.500  0.500  -0.01
O  0.875  0.250  0.625  -0.01
O  0.625  0.750  0.875  -0.01
O  0.875  0.625  0.750  -0.01
Ba  0.698  0.116  0.015  -0.05
Ba  0.317  0.515  0.399  -0.05
Ba  0.985  0.384  0.302  -0.05
Ba  0.515  0.198  0.116  -0.05
Ba  0.582  0.698  0.683  -0.05
Ba  0.985  0.601  0.183  -0.05
Ba  0.317  0.802  0.418  -0.05
Ba  0.101  0.918  0.116  -0.05
Ba  0.601  0.985  0.683  -0.05
Ba  0.698  0.582  0.183  -0.05
Ba  0.802  0.485  0.384  -0.05
Ba  0.817  0.899  0.015  -0.05
Ba  0.116  0.698  0.515  -0.05
Ba  0.384  0.399  0.082  -0.05
Ba  0.082  0.899  0.384  -0.05
Ba  0.418  0.116  0.601  -0.05
Ba  0.082  0.183  0.198  -0.05
Ba  0.485  0.683  0.101  -0.05
Ba  0.817  0.918  0.302  -0.05
Ba  0.116  0.418  0.101  -0.05
Ba  0.384  0.985  0.802  -0.05
Ba  0.601  0.616  0.418  -0.05
Ba  0.899  0.817  0.515  -0.05
Ba  0.802  0.317  0.918  -0.05
Ba  0.399  0.384  0.582  -0.05
Ba  0.101  0.183  0.485  -0.05
Ba  0.198  0.683  0.082  -0.05
Ba  0.183  0.082  0.698  -0.05
Ba  0.616  0.015  0.198  -0.05
Ba  0.884  0.582  0.899  -0.05
Ba  0.515  0.317  0.899  -0.05
Ba  0.582  0.884  0.399  -0.05
Ba  0.918  0.817  0.802  -0.05
Ba  0.918  0.101  0.616  -0.05
Ba  0.884  0.302  0.485  -0.05
Ba  0.183  0.101  0.985  -0.05
Ba  0.616  0.601  0.918  -0.05
Ba  0.399  0.015  0.317  -0.05
Ba  0.302  0.418  0.817  -0.05
Ba  0.198  0.515  0.616  -0.05
Ba  0.899  0.082  0.884  -0.05
Ba  0.683  0.198  0.582  -0.05
Ba  0.485  0.802  0.884  -0.05
Ba  0.015  0.399  0.817  -0.05
Ba  0.418  0.302  0.317  -0.05
Ba  0.015  0.616  0.698  -0.05
Ba  0.683  0.485  0.601  -0.05
Ba  0.302  0.884  0.985  -0.05